P.
Below is a geometry-optimized Sc2Ti2Cd structure, with properties calculated at the PBE level.

- total moment (μB/f.u.) = 0.0

Lattice parameters (Å, degrees): 7.617 7.617 3.672 90.00 90.00 90.00
Sites, in units of the cell vectors:
Sc: 0.349 0.849 0.000
Sc: 0.849 0.651 0.000
Sc: 0.651 0.151 0.000
Sc: 0.151 0.349 0.000
Ti: 0.137 0.637 0.500
Ti: 0.637 0.863 0.500
Ti: 0.863 0.363 0.500
Ti: 0.363 0.137 0.500
Cd: 0.000 0.000 0.000
Cd: 0.500 0.500 0.000


Q.
Below is a geometry-optimized Sc2Ti2Cd structure, with properties calculated at the PBE level.

- total moment (μB/f.u.) = 0.0

Lattice parameters (Å, degrees): 7.572 7.572 3.629 90.00 90.00 90.00
Sites, in units of the cell vectors:
Sc: 0.170 0.670 0.500
Sc: 0.670 0.830 0.500
Sc: 0.830 0.330 0.500
Sc: 0.330 0.170 0.500
Ti: 0.375 0.875 0.000
Ti: 0.875 0.625 0.000
Ti: 0.625 0.125 0.000
Ti: 0.125 0.375 0.000
Cd: 0.000 0.000 0.000
Cd: 0.500 0.500 0.000


Least stable of them? P.


P.
Below is a geometry-optimized ScTi2Cd2 structure, with properties calculated at the PBE level.

- total moment (μB/f.u.) = 0.0

Lattice parameters (Å, degrees): 3.789 3.789 7.744 75.84 75.84 90.00
Sites, in units of the cell vectors:
Sc: 0.000 0.000 0.000
Ti: 0.750 0.250 0.500
Ti: 0.250 0.750 0.500
Cd: 0.402 0.402 0.196
Cd: 0.598 0.598 0.804


Q.
Below is a geometry-optimized ScTi2Cd2 structure, with properties calculated at the PBE level.

- total moment (μB/f.u.) = 1.9

Lattice parameters (Å, degrees): 7.874 7.874 3.331 90.00 90.00 90.00
Sites, in units of the cell vectors:
Sc: 0.000 0.000 0.000
Sc: 0.500 0.500 0.000
Ti: 0.170 0.670 0.500
Ti: 0.670 0.830 0.500
Ti: 0.830 0.330 0.500
Ti: 0.330 0.170 0.500
Cd: 0.370 0.870 0.000
Cd: 0.870 0.630 0.000
Cd: 0.630 0.130 0.000
Cd: 0.130 0.370 0.000


R.
Below is a geometry-optimized ScTi2Cd2 structure, with properties calculated at the PBE level.

- total moment (μB/f.u.) = 2.6

Lattice parameters (Å, degrees): 8.283 8.283 2.997 90.00 90.00 90.00
Sites, in units of the cell vectors:
Sc: 0.000 0.000 0.000
Sc: 0.500 0.500 0.000
Ti: 0.391 0.891 0.000
Ti: 0.891 0.609 0.000
Ti: 0.609 0.109 0.000
Ti: 0.109 0.391 0.000
Cd: 0.185 0.685 0.500
Cd: 0.685 0.815 0.500
Cd: 0.815 0.315 0.500
Cd: 0.315 0.185 0.500


Least stable of them? P.